# 1
# Zr2TeBr PBE-GGA optimized geometry
# Uncorrected energy in eV/atom: -5.896
# Energy above the most stable polymorph in this dataset in eV/f.u.: 1.197
# V in Å³ per cell: 189.1
data_Zr2TeBr
_cell_length_a 3.4491
_cell_length_b 4.9138
_cell_length_c 11.1565
_cell_angle_alpha 90.00
_cell_angle_beta 90.00
_cell_angle_gamma 90.00
_space_group_name_H-M_alt 'I m m 2'
_space_group_IT_number 44
loop_
_space_group_symop_operation_xyz
'x,y,z'
'-x,-y,z'
'-x,y,z'
'x,-y,z'
'x+1/2,y+1/2,z+1/2'
'-x+1/2,-y+1/2,z+1/2'
'-x+1/2,y+1/2,z+1/2'
'x+1/2,-y+1/2,z+1/2'
loop_
_atom_site_label
_atom_site_fract_x
_atom_site_fract_y
_atom_site_fract_z
Zr1 0.0000 0.0000 0.0000
Zr2 0.0000 0.5000 0.2072
Te1 0.0000 0.0000 0.4914
Br1 0.0000 0.5000 0.7040

---

# 2
# ZrTeBr PBE-GGA optimized geometry
# Uncorrected energy in eV/atom: -5.470
# V in Å³ per cell: 93.3
data_ZrTeBr
_cell_length_a 3.8194
_cell_length_b 3.8194
_cell_length_c 7.3886
_cell_angle_alpha 90.00
_cell_angle_beta 90.00
_cell_angle_gamma 120.00
_space_group_name_H-M_alt 'P 3 m 1'
_space_group_IT_number 156
loop_
_space_group_symop_operation_xyz
'x,y,z'
'-y,x-y,z'
'-x+y,-x,z'
'-y,-x,z'
'-x+y,y,z'
'x,x-y,z'
loop_
_atom_site_label
_atom_site_fract_x
_atom_site_fract_y
_atom_site_fract_z
Zr1 0.0000 0.0000 0.0000
Te1 0.6667 0.3333 0.7510
Br1 0.3333 0.6667 0.2397

---

# 3
# Zr2TeBr PBE-GGA optimized geometry
# Uncorrected energy in eV/atom: -5.967
# Energy above the most stable polymorph in this dataset in eV/f.u.: 0.916
# V in Å³ per cell: 348.1
data_Zr2TeBr
_cell_length_a 7.0344
_cell_length_b 7.0344
_cell_length_c 7.0344
_cell_angle_alpha 90.00
_cell_angle_beta 90.00
_cell_angle_gamma 90.00
_space_group_name_H-M_alt 'F m -3 m'
_space_group_IT_number 225
_space_group_name_Hall '-F 4 2 3'
loop_
_atom_site_label
_atom_site_fract_x
_atom_site_fract_y
_atom_site_fract_z
Zr1 0.2500 0.2500 0.2500
Te1 0.0000 0.0000 0.0000
Br1 0.0000 0.0000 0.5000

---

# 4
# Zr2TeBr PBE-GGA optimized geometry
# Uncorrected energy in eV/atom: -5.315
# Energy above the most stable polymorph in this dataset in eV/f.u.: 3.521
# V in Å³ per cell: 379.4
data_Zr2TeBr
_cell_length_a 7.2395
_cell_length_b 7.2395
_cell_length_c 7.2395
_cell_angle_alpha 90.00
_cell_angle_beta 90.00
_cell_angle_gamma 90.00
_space_group_name_H-M_alt 'F -4 3 m'
_space_group_IT_number 216
_space_group_name_Hall 'F -4 2 3'
loop_
_atom_site_label
_atom_site_fract_x
_atom_site_fract_y
_atom_site_fract_z
Zr1 0.0000 0.0000 0.0000
Zr2 0.2500 0.2500 0.2500
Te1 0.0000 0.0000 0.5000
Br1 0.2500 0.2500 0.7500

---

# 5
# ZrTeBr3 PBE-GGA optimized geometry
# Uncorrected energy in eV/atom: -2.787
# V in Å³ per cell: 187.4
data_ZrTeBr3
_cell_length_a 5.7221
_cell_length_b 5.7221
_cell_length_c 5.7221
_cell_angle_alpha 90.00
_cell_angle_beta 90.00
_cell_angle_gamma 90.00
_space_group_name_H-M_alt 'P m -3 m'
_space_group_IT_number 221
_space_group_name_Hall '-P 4 2 3'
loop_
_atom_site_label
_atom_site_fract_x
_atom_site_fract_y
_atom_site_fract_z
Zr1 0.0000 0.0000 0.0000
Te1 0.5000 0.5000 0.5000
Br1 0.0000 0.5000 0.5000

---

# 6
# Zr2TeBr PBE-GGA optimized geometry
# Uncorrected energy in eV/atom: -6.000
# Energy above the most stable polymorph in this dataset in eV/f.u.: 0.783
# V in Å³ per cell: 182.7
data_Zr2TeBr
_cell_length_a 10.0546
_cell_length_b 3.5475
_cell_length_c 5.2617
_cell_angle_alpha 90.00
_cell_angle_beta 103.18
_cell_angle_gamma 90.00
_space_group_name_H-M_alt 'C 1 m 1'
_space_group_IT_number 8
loop_
_space_group_symop_operation_xyz
'x,y,z'
'x,-y,z'
'x+1/2,y+1/2,z'
'x+1/2,-y+1/2,z'
loop_
_atom_site_label
_atom_site_fract_x
_atom_site_fract_y
_atom_site_fract_z
Zr1 0.0000 0.0000 0.0000
Zr2 0.2403 0.0000 0.6689
Te1 0.0020 0.5000 0.5014
Br1 0.2358 0.5000 0.0931

---

# 7
# Zr2Te2Br PBE-GGA optimized geometry
# Uncorrected energy in eV/atom: -5.961
# Energy above the most stable polymorph in this dataset in eV/f.u.: 0.000
# V in Å³ per cell: 550.3
data_Zr2Te2Br
_cell_length_a 12.6850
_cell_length_b 5.6162
_cell_length_c 8.2693
_cell_angle_alpha 90.00
_cell_angle_beta 110.91
_cell_angle_gamma 90.00
_space_group_name_H-M_alt 'C 1 2/m 1'
_space_group_IT_number 12
loop_
_space_group_symop_operation_xyz
'x,y,z'
'-x,-y,-z'
'-x,y,-z'
'x,-y,z'
'x+1/2,y+1/2,z'
'-x+1/2,-y+1/2,-z'
'-x+1/2,y+1/2,-z'
'x+1/2,-y+1/2,z'
loop_
_atom_site_label
_atom_site_fract_x
_atom_site_fract_y
_atom_site_fract_z
Zr1 0.0186 0.0000 0.3153
Zr2 0.1620 0.5000 0.5600
Te1 0.0196 0.5000 0.7798
Te2 0.1999 0.0000 0.6581
Br1 0.1506 0.0000 0.1130

---

# 8
# Zr2TeBr PBE-GGA optimized geometry
# Uncorrected energy in eV/atom: -5.965
# Energy above the most stable polymorph in this dataset in eV/f.u.: 0.923
# V in Å³ per cell: 98.9
data_Zr2TeBr
_cell_length_a 3.5523
_cell_length_b 3.6340
_cell_length_c 7.6643
_cell_angle_alpha 90.00
_cell_angle_beta 90.00
_cell_angle_gamma 90.00
_space_group_name_H-M_alt 'P m m m'
_space_group_IT_number 47
loop_
_space_group_symop_operation_xyz
'x,y,z'
'-x,-y,-z'
'-x,-y,z'
'x,y,-z'
'x,-y,-z'
'-x,y,z'
'-x,y,-z'
'x,-y,z'
loop_
_atom_site_label
_atom_site_fract_x
_atom_site_fract_y
_atom_site_fract_z
Zr1 0.0000 0.0000 0.2062
Te1 0.5000 0.5000 0.0000
Br1 0.5000 0.0000 0.5000

---

# 9
# ZrTeBr PBE-GGA optimized geometry
# Uncorrected energy in eV/atom: -5.506
# V in Å³ per cell: 390.3
data_ZrTeBr
_cell_length_a 15.1298
_cell_length_b 3.8291
_cell_length_c 6.8484
_cell_angle_alpha 90.00
_cell_angle_beta 100.35
_cell_angle_gamma 90.00
_space_group_name_H-M_alt 'C 1 2/m 1'
_space_group_IT_number 12
loop_
_space_group_symop_operation_xyz
'x,y,z'
'-x,-y,-z'
'-x,y,-z'
'x,-y,z'
'x+1/2,y+1/2,z'
'-x+1/2,-y+1/2,-z'
'-x+1/2,y+1/2,-z'
'x+1/2,-y+1/2,z'
loop_
_atom_site_label
_atom_site_fract_x
_atom_site_fract_y
_atom_site_fract_z
Zr1 0.2463 0.0000 0.2889
Te1 0.1161 0.5000 0.3649
Br1 0.1507 0.0000 0.8800

---

# 10
# Zr2TeBr PBE-GGA optimized geometry
# Uncorrected energy in eV/atom: -5.949
# Energy above the most stable polymorph in this dataset in eV/f.u.: 0.985
# V in Å³ per cell: 88.7
data_Zr2TeBr
_cell_length_a 3.5429
_cell_length_b 3.5429
_cell_length_c 7.0695
_cell_angle_alpha 90.00
_cell_angle_beta 90.00
_cell_angle_gamma 90.00
_space_group_name_H-M_alt 'P 4/m m m'
_space_group_IT_number 123
_space_group_name_Hall '-P 4 2'
loop_
_atom_site_label
_atom_site_fract_x
_atom_site_fract_y
_atom_site_fract_z
Zr1 0.0000 0.0000 0.2313
Te1 0.5000 0.5000 0.0000
Br1 0.5000 0.5000 0.5000

---

# 11
# Zr2TeBr PBE-GGA optimized geometry
# Uncorrected energy in eV/atom: -5.754
# Energy above the most stable polymorph in this dataset in eV/f.u.: 1.767
# V in Å³ per cell: 193.4
data_Zr2TeBr
_cell_length_a 3.4636
_cell_length_b 6.1148
_cell_length_c 9.1292
_cell_angle_alpha 90.00
_cell_angle_beta 90.00
_cell_angle_gamma 90.00
_space_group_name_H-M_alt 'I m m m'
_space_group_IT_number 71
_space_group_name_Hall '-I 2 2'
loop_
_atom_site_label
_atom_site_fract_x
_atom_site_fract_y
_atom_site_fract_z
Zr1 0.0000 0.0000 0.2414
Te1 0.0000 0.5000 0.0000
Br1 0.0000 0.5000 0.5000

---

# 12
# ThBr4 PBE-GGA optimized geometry
# Uncorrected energy in eV/atom: -4.536
# V in Å³ per cell: 663.2
data_ThBr4
_cell_length_a 6.9652
_cell_length_b 6.9652
_cell_length_c 13.6711
_cell_angle_alpha 90.00
_cell_angle_beta 90.00
_cell_angle_gamma 90.00
_space_group_name_H-M_alt 'I 41/a'
_space_group_IT_number 88
loop_
_space_group_symop_operation_xyz
'x,y,z'
'-x,-y,-z'
'-y+3/4,x+1/4,z+1/4'
'y+3/4,-x+1/4,-z+1/4'
'-x+1/2,-y,z+1/2'
'x+1/2,y,-z+1/2'
'y+3/4,-x+3/4,z+3/4'
'-y+3/4,x+3/4,-z+3/4'
'x+1/2,y+1/2,z+1/2'
'-x+1/2,-y+1/2,-z+1/2'
'-y+1/4,x+3/4,z+3/4'
'y+1/4,-x+3/4,-z+3/4'
'-x,-y+1/2,z'
'x,y+1/2,-z'
'y+1/4,-x+1/4,z+1/4'
'-y+1/4,x+1/4,-z+1/4'
loop_
_atom_site_label
_atom_site_fract_x
_atom_site_fract_y
_atom_site_fract_z
Th1 0.0000 0.2500 0.1250
Br1 0.1665 0.0365 0.3009

---

# 13
# ThBr4 PBE-GGA optimized geometry
# Uncorrected energy in eV/atom: -4.045
# V in Å³ per cell: 182.7
data_ThBr4
_cell_length_a 5.6748
_cell_length_b 5.6748
_cell_length_c 5.6748
_cell_angle_alpha 90.00
_cell_angle_beta 90.00
_cell_angle_gamma 90.00
_space_group_name_H-M_alt 'P m -3 m'
_space_group_IT_number 221
_space_group_name_Hall '-P 4 2 3'
loop_
_atom_site_label
_atom_site_fract_x
_atom_site_fract_y
_atom_site_fract_z
Th1 0.0000 0.0000 0.0000
Br1 0.0000 0.0000 0.5000
Br2 0.5000 0.5000 0.5000

---

# 14
# ThBr4 PBE-GGA optimized geometry
# Uncorrected energy in eV/atom: -4.513
# V in Å³ per cell: 936.0
data_ThBr4
_cell_length_a 8.3792
_cell_length_b 17.1930
_cell_length_c 7.4414
_cell_angle_alpha 90.00
_cell_angle_beta 119.18
_cell_angle_gamma 90.00
_space_group_name_H-M_alt 'C 1 2/c 1'
_space_group_IT_number 15
loop_
_space_group_symop_operation_xyz
'x,y,z'
'-x,-y,-z'
'-x,y,-z+1/2'
'x,-y,z+1/2'
'x+1/2,y+1/2,z'
'-x+1/2,-y+1/2,-z'
'-x+1/2,y+1/2,-z+1/2'
'x+1/2,-y+1/2,z+1/2'
loop_
_atom_site_label
_atom_site_fract_x
_atom_site_fract_y
_atom_site_fract_z
Th1 0.0000 0.0776 0.2500
Br1 0.2116 0.0529 0.6944
Br2 0.2469 0.1803 0.2529

---

# 15
# ThBr4 PBE-GGA optimized geometry
# Uncorrected energy in eV/atom: -4.385
# V in Å³ per cell: 313.7
data_ThBr4
_cell_length_a 6.6010
_cell_length_b 6.6010
_cell_length_c 7.1994
_cell_angle_alpha 90.00
_cell_angle_beta 90.00
_cell_angle_gamma 90.00
_space_group_name_H-M_alt 'P -4 21 c'
_space_group_IT_number 114
loop_
_space_group_symop_operation_xyz
'x,y,z'
'y,-x,-z'
'-x,-y,z'
'-y,x,-z'
'x+1/2,-y+1/2,-z+1/2'
'y+1/2,x+1/2,z+1/2'
'-x+1/2,y+1/2,-z+1/2'
'-y+1/2,-x+1/2,z+1/2'
loop_
_atom_site_label
_atom_site_fract_x
_atom_site_fract_y
_atom_site_fract_z
Th1 0.0000 0.0000 0.0000
Br1 0.1888 0.2557 0.3458

---

# 16
# ThBr2 PBE-GGA optimized geometry
# Uncorrected energy in eV/atom: -4.704
# V in Å³ per cell: 853.6
data_ThBr2
_cell_length_a 7.6346
_cell_length_b 7.6346
_cell_length_c 14.6446
_cell_angle_alpha 90.00
_cell_angle_beta 90.00
_cell_angle_gamma 90.00
_space_group_name_H-M_alt 'I 41/a'
_space_group_IT_number 88
loop_
_space_group_symop_operation_xyz
'x,y,z'
'-x,-y,-z'
'-y+3/4,x+1/4,z+1/4'
'y+3/4,-x+1/4,-z+1/4'
'-x+1/2,-y,z+1/2'
'x+1/2,y,-z+1/2'
'y+3/4,-x+3/4,z+3/4'
'-y+3/4,x+3/4,-z+3/4'
'x+1/2,y+1/2,z+1/2'
'-x+1/2,-y+1/2,-z+1/2'
'-y+1/4,x+3/4,z+3/4'
'y+1/4,-x+3/4,-z+3/4'
'-x,-y+1/2,z'
'x,y+1/2,-z'
'y+1/4,-x+1/4,z+1/4'
'-y+1/4,x+1/4,-z+1/4'
loop_
_atom_site_label
_atom_site_fract_x
_atom_site_fract_y
_atom_site_fract_z
Th1 0.0000 0.0000 0.0000
Br1 0.1624 0.0343 0.4102

---

# 17
# ThBr4 PBE-GGA optimized geometry
# Uncorrected energy in eV/atom: -4.528
# V in Å³ per cell: 672.7
data_ThBr4
_cell_length_a 9.0362
_cell_length_b 9.0362
_cell_length_c 8.2380
_cell_angle_alpha 90.00
_cell_angle_beta 90.00
_cell_angle_gamma 90.00
_space_group_name_H-M_alt 'I 41/a m d'
_space_group_IT_number 141
loop_
_space_group_symop_operation_xyz
'x,y,z'
'-x,-y,-z'
'-y+1/4,x+3/4,z+1/4'
'y+1/4,-x+3/4,-z+1/4'
'-x+1/2,-y,z+1/2'
'x+1/2,y,-z+1/2'
'y+1/4,-x+1/4,z+3/4'
'-y+1/4,x+1/4,-z+3/4'
'x,-y,-z'
'-x,y,z'
'-y+1/4,-x+1/4,-z+3/4'
'y+1/4,x+1/4,z+3/4'
'-x+1/2,y,-z+1/2'
'x+1/2,-y,z+1/2'
'y+1/4,x+3/4,-z+1/4'
'-y+1/4,-x+3/4,z+1/4'
'x+1/2,y+1/2,z+1/2'
'-x+1/2,-y+1/2,-z+1/2'
'-y+3/4,x+1/4,z+3/4'
'y+3/4,-x+1/4,-z+3/4'
'-x,-y+1/2,z'
'x,y+1/2,-z'
'y+3/4,-x+3/4,z+1/4'
'-y+3/4,x+3/4,-z+1/4'
'x+1/2,-y+1/2,-z+1/2'
'-x+1/2,y+1/2,z+1/2'
'-y+3/4,-x+3/4,-z+1/4'
'y+3/4,x+3/4,z+1/4'
'-x,y+1/2,-z'
'x,-y+1/2,z'
'y+3/4,x+1/4,-z+3/4'
'-y+3/4,-x+1/4,z+3/4'
loop_
_atom_site_label
_atom_site_fract_x
_atom_site_fract_y
_atom_site_fract_z
Th1 0.0000 0.2500 0.3750
Br1 0.0000 0.0637 0.6950

---

# 18
# ThTiBr2 PBE-GGA optimized geometry
# Uncorrected energy in eV/atom: -5.189
# V in Å³ per cell: 295.9
data_ThTiBr2
_cell_length_a 3.4071
_cell_length_b 3.4071
_cell_length_c 29.4318
_cell_angle_alpha 90.00
_cell_angle_beta 90.00
_cell_angle_gamma 120.00
_space_group_name_H-M_alt 'R -3 m'
_space_group_IT_number 166
_space_group_name_Hall '-R 3 2"'
loop_
_atom_site_label
_atom_site_fract_x
_atom_site_fract_y
_atom_site_fract_z
Th1 0.0000 0.0000 0.0000
Ti1 0.0000 0.0000 0.5000
Br1 0.0000 0.0000 0.1060

---

# 19
# ThTlBr2 PBE-GGA optimized geometry
# Uncorrected energy in eV/atom: -4.298
# V in Å³ per cell: 393.2
data_ThTlBr2
_cell_length_a 3.6736
_cell_length_b 3.6736
_cell_length_c 33.6459
_cell_angle_alpha 90.00
_cell_angle_beta 90.00
_cell_angle_gamma 120.00
_space_group_name_H-M_alt 'R -3 m'
_space_group_IT_number 166
_space_group_name_Hall '-R 3 2"'
loop_
_atom_site_label
_atom_site_fract_x
_atom_site_fract_y
_atom_site_fract_z
Th1 0.0000 0.0000 0.0000
Tl1 0.0000 0.0000 0.5000
Br1 0.0000 0.0000 0.3983

---

# 20
# ThTlBr6 PBE-GGA optimized geometry
# Uncorrected energy in eV/atom: -3.721
# Energy above the most stable polymorph in this dataset in eV/f.u.: 0.000
# V in Å³ per cell: 674.2
data_ThTlBr6
_cell_length_a 7.3100
_cell_length_b 13.2923
_cell_length_c 7.3057
_cell_angle_alpha 90.00
_cell_angle_beta 108.23
_cell_angle_gamma 90.00
_space_group_name_H-M_alt 'C 1 2/m 1'
_space_group_IT_number 12
loop_
_space_group_symop_operation_xyz
'x,y,z'
'-x,-y,-z'
'-x,y,-z'
'x,-y,z'
'x+1/2,y+1/2,z'
'-x+1/2,-y+1/2,-z'
'-x+1/2,y+1/2,-z'
'x+1/2,-y+1/2,z'
loop_
_atom_site_label
_atom_site_fract_x
_atom_site_fract_y
_atom_site_fract_z
Th1 0.0000 0.0000 0.0000
Tl1 0.0000 0.5000 0.5000
Br1 0.2389 0.0000 0.7637
Br2 0.2388 0.1513 0.2405

---

| no. | magnetization (Bohr magnetons per cell) |
| --- | --- |
| 1 | 0.0 |
| 2 | 0.0 |
| 3 | 0.0 |
| 4 | 3.3 |
| 5 | 2.8 |
| 6 | 0.0 |
| 7 | 0.0 |
| 8 | 0.0 |
| 9 | 0.0 |
| 10 | 0.0 |
| 11 | 0.0 |
| 12 | 0.0 |
| 13 | 0.0 |
| 14 | 0.0 |
| 15 | 0.0 |
| 16 | 1.4 |
| 17 | 0.0 |
| 18 | 0.0 |
| 19 | 0.0 |
| 20 | 0.0 |